Record 1
VASP calculation (GGA-PBE) on a geometry-optimized Cd3Sb structure.

Summary:
total moment = 0.000 μB per atom

Cell: 6.028 6.028 6.028 Å, 90.00 90.00 90.00°
Space group Pm-3m (No. 221)
Symmetry-distinct sites (fractional):
Cd: 0.000 0.000 0.500 (multiplicity 3)
Sb: 0.000 0.000 0.000 (multiplicity 1)


Record 2
VASP calculation (GGA-PBE) on a geometry-optimized CdSb structure.

Summary:
total moment = 0.000 μB per atom

Cell: 4.882 4.937 6.536 Å, 69.61 71.23 60.56°
Space group P1 (No. 1)
Symmetry-distinct sites (fractional):
Cd: 0.000 0.000 0.000 (multiplicity 1)
Cd: 0.077 0.881 0.515 (multiplicity 1)
Sb: 0.676 0.671 0.940 (multiplicity 1)
Sb: 0.759 0.570 0.407 (multiplicity 1)


Record 3
VASP calculation (GGA-PBE) on a geometry-optimized CdSb structure.

Summary:
total moment = 0.000 μB per atom

Cell: 3.154 3.154 10.450 Å, 90.00 90.00 90.00°
Space group P4/nmm (No. 129, origin choice 2)
Symmetry-distinct sites (fractional):
Cd: 0.250 0.250 0.111 (multiplicity 2)
Sb: 0.250 0.250 0.651 (multiplicity 2)


Record 4
VASP calculation (GGA-PBE) on a geometry-optimized Cd5Sb structure.

Summary:
total moment = 0.000 μB per atom

Cell: 8.380 8.380 8.380 Å, 90.00 90.00 90.00°
Space group F-43m (No. 216)
Symmetry-distinct sites (fractional):
Cd: 0.000 0.000 0.000 (multiplicity 4)
Cd: 0.125 0.125 0.625 (multiplicity 16)
Sb: 0.250 0.250 0.250 (multiplicity 4)


Record 5
VASP calculation (GGA-PBE) on a geometry-optimized CdSb5 structure.

Summary:
total moment = 0.000 μB per atom

Cell: 4.304 19.208 4.164 Å, 90.00 90.00 90.00°
Space group Cmmm (No. 65)
Symmetry-distinct sites (fractional):
Cd: 0.000 0.000 0.000 (multiplicity 2)
Sb: 0.000 0.191 0.500 (multiplicity 4)
Sb: 0.000 0.369 0.000 (multiplicity 4)
Sb: 0.000 0.500 0.500 (multiplicity 2)


Record 6
VASP calculation (GGA-PBE) on a geometry-optimized CdSb structure.

Summary:
total moment = 0.000 μB per atom

Cell: 4.338 12.497 4.096 Å, 90.00 90.00 90.00°
Space group Cmcm (No. 63)
Symmetry-distinct sites (fractional):
Cd: 0.000 0.157 0.250 (multiplicity 4)
Sb: 0.000 0.405 0.250 (multiplicity 4)


Formation energy (no corrections) list, top to bottom, in eV/atom: 0.362, -0.004, 0.157, 0.148, 0.183, 0.097
Theoretical density list, top to bottom, in g/cm3: 3.5, 6.2, 7.5, 7.7, 7.0, 7.0
E above lowest polymorph list, top to bottom, in eV/atom: 0.315, 0.042, 0.204, 0.111, 0.014, 0.143